The following is a PBE calculation of crystalline Na5MgHg6 at its relaxed geometry, from Alexandria.

Cell: 8.8506 15.7937 5.3124 Å, 90.00 125.82 90.00°
Space group C2/m (No. 12)
Asymmetric unit:
Na 0.0000 0.0000 0.0000 [2 per cell]
Na 0.0000 0.1625 0.5000 [4 per cell]
Na 0.0000 0.3211 0.0000 [4 per cell]
Mg 0.0000 0.5000 0.5000 [2 per cell]
Hg 0.2205 0.5000 0.2174 [4 per cell]
Hg 0.2350 0.3415 0.7339 [8 per cell]

Properties
* volume: 25.09 Å³/atom
* energy relative to the elements: -2.83 eV per formula unit